a | This record from the Alexandria database describes a relaxed CsRuC3 crystal. The functional is PBE.

**Total magnetic moment**: 0.0 Bohr magnetons per cell

```
data_CsRuC3
_cell_length_a 4.364
_cell_length_b 4.364
_cell_length_c 4.364
_cell_angle_alpha 90.00
_cell_angle_beta 90.00
_cell_angle_gamma 90.00
_space_group_name_H-M_alt 'P m -3 m'
_space_group_IT_number 221
_space_group_name_Hall '-P 4 2 3'
loop_
_atom_site_label
_atom_site_type_symbol
_atom_site_fract_x
_atom_site_fract_y
_atom_site_fract_z
Cs1 Cs 0.000 0.000 0.000
Ru1 Ru 0.500 0.500 0.500
C1 C 0.000 0.000 0.500
```

b | This record from the Alexandria database describes a relaxed CsRuC3 crystal. The functional is PBE.

**Total magnetic moment**: 2.3 Bohr magnetons per cell

```
data_CsRuC3
_cell_length_a 4.179
_cell_length_b 4.179
_cell_length_c 4.179
_cell_angle_alpha 90.00
_cell_angle_beta 90.00
_cell_angle_gamma 90.00
_space_group_name_H-M_alt 'P m -3 m'
_space_group_IT_number 221
_space_group_name_Hall '-P 4 2 3'
loop_
_atom_site_label
_atom_site_type_symbol
_atom_site_fract_x
_atom_site_fract_y
_atom_site_fract_z
Cs1 Cs 0.000 0.000 0.000
Ru1 Ru 0.500 0.500 0.500
C1 C 0.000 0.500 0.500
```

Stability ranking, top and bottom: b is the most stable and a is the least stable.

a | This record from the Alexandria database describes a relaxed CsCS3 crystal. The functional is PBE.

**Total magnetic moment**: 0.0 Bohr magnetons per cell

```
data_CsCS3
_cell_length_a 6.241
_cell_length_b 6.628
_cell_length_c 8.862
_cell_angle_alpha 90.00
_cell_angle_beta 90.65
_cell_angle_gamma 90.00
_space_group_name_H-M_alt 'P 1 21/m 1'
_space_group_IT_number 11
_space_group_name_Hall '-P 2yb'
loop_
_atom_site_label
_atom_site_type_symbol
_atom_site_fract_x
_atom_site_fract_y
_atom_site_fract_z
Cs1 Cs 0.183 0.250 0.239
C1 C 0.238 0.250 0.792
S1 S 0.060 0.250 0.647
S2 S 0.323 0.027 0.867
```

b | This record from the Alexandria database describes a relaxed CsCS3 crystal. The functional is PBE.

**Total magnetic moment**: 0.0 Bohr magnetons per cell

```
data_CsCS3
_cell_length_a 4.588
_cell_length_b 4.588
_cell_length_c 4.588
_cell_angle_alpha 90.00
_cell_angle_beta 90.00
_cell_angle_gamma 90.00
_space_group_name_H-M_alt 'P m -3 m'
_space_group_IT_number 221
_space_group_name_Hall '-P 4 2 3'
loop_
_atom_site_label
_atom_site_type_symbol
_atom_site_fract_x
_atom_site_fract_y
_atom_site_fract_z
Cs1 Cs 0.000 0.000 0.000
C1 C 0.500 0.500 0.500
S1 S 0.000 0.500 0.500
```

Stability ranking, top and bottom: a is the most stable and b is the least stable.

a | This record from the Alexandria database describes a relaxed CsSbC3 crystal. The functional is PBE.

**Total magnetic moment**: 0.0 Bohr magnetons per cell

```
data_CsSbC3
_cell_length_a 4.524
_cell_length_b 4.524
_cell_length_c 4.524
_cell_angle_alpha 90.00
_cell_angle_beta 90.00
_cell_angle_gamma 90.00
_space_group_name_H-M_alt 'P m -3 m'
_space_group_IT_number 221
_space_group_name_Hall '-P 4 2 3'
loop_
_atom_site_label
_atom_site_type_symbol
_atom_site_fract_x
_atom_site_fract_y
_atom_site_fract_z
Cs1 Cs 0.000 0.000 0.000
Sb1 Sb 0.500 0.500 0.500
C1 C 0.000 0.500 0.500
```

b | This record from the Alexandria database describes a relaxed CsSbC3 crystal. The functional is PBE.

**Total magnetic moment**: 1.9 Bohr magnetons per cell

```
data_CsSbC3
_cell_length_a 4.621
_cell_length_b 4.621
_cell_length_c 4.621
_cell_angle_alpha 90.00
_cell_angle_beta 90.00
_cell_angle_gamma 90.00
_space_group_name_H-M_alt 'P m -3 m'
_space_group_IT_number 221
_space_group_name_Hall '-P 4 2 3'
loop_
_atom_site_label
_atom_site_type_symbol
_atom_site_fract_x
_atom_site_fract_y
_atom_site_fract_z
Cs1 Cs 0.000 0.000 0.000
Sb1 Sb 0.500 0.500 0.500
C1 C 0.000 0.000 0.500
```

Stability ranking, top and bottom: a is the most stable and b is the least stable.